No. 1
Below is a relaxed VMo2C crystal, with properties calculated at the PBE level.

a b c (Å): 7.1673 7.1673 4.2435
angles (deg): 90.00 90.00 90.00
Space group I-42d (No. 122)
Inequivalent atoms, fractional coordinates:
1 V 0.0000 0.0000 0.0000 [4 per cell]
2 Mo 0.1344 0.2500 0.6250 [8 per cell]
3 C 0.0000 0.0000 0.5000 [4 per cell]

Total moment (μB/f.u.): 0.00
Formation energy (eV/atom): 0.15
Density of states at the Fermi level (states/eV/f.u.): 2.5
ΔE to the lowest computed polymorph (meV/atom): 0

No. 2
Below is a relaxed V3MoC crystal, with properties calculated at the PBE level.

a b c (Å): 4.6036 4.6036 4.6036
angles (deg): 90.00 90.00 90.00
Space group Pm-3m (No. 221)
Inequivalent atoms, fractional coordinates:
1 V 0.0000 0.0000 0.5000 [3 per cell]
2 Mo 0.0000 0.0000 0.0000 [1 per cell]
3 C 0.5000 0.5000 0.5000 [1 per cell]

Total moment (μB/f.u.): 4.70
Formation energy (eV/atom): 2.49
Density of states at the Fermi level (states/eV/f.u.): 8.5
ΔE to the lowest computed polymorph (meV/atom): 2655

No. 3
Below is a relaxed VMoC2 crystal, with properties calculated at the PBE level.

a b c (Å): 4.6122 4.6122 9.2088
angles (deg): 90.00 90.00 90.00
Space group I-42d (No. 122)
Inequivalent atoms, fractional coordinates:
1 V 0.0000 0.0000 0.0000 [4 per cell]
2 Mo 0.0000 0.0000 0.5000 [4 per cell]
3 C 0.2411 0.2500 0.1250 [8 per cell]

Total moment (μB/f.u.): 0.00
Formation energy (eV/atom): 0.32
Density of states at the Fermi level (states/eV/f.u.): 3.0
ΔE to the lowest computed polymorph (meV/atom): 425

No. 4
Below is a relaxed V3Mo2C4 crystal, with properties calculated at the PBE level.

a b c (Å): 9.8140 2.9866 7.3364
angles (deg): 90.00 119.19 90.00
Space group C2/m (No. 12)
Inequivalent atoms, fractional coordinates:
1 V 0.0000 0.0000 0.0000 [2 per cell]
2 V 0.2092 0.0000 0.8143 [4 per cell]
3 Mo 0.1032 0.5000 0.3902 [4 per cell]
4 C 0.1029 0.5000 0.9010 [4 per cell]
5 C 0.2019 0.0000 0.2941 [4 per cell]

Total moment (μB/f.u.): 0.00
Formation energy (eV/atom): -0.31
Density of states at the Fermi level (states/eV/f.u.): 5.7

No. 5
Below is a relaxed V3MoC crystal, with properties calculated at the PBE level.

a b c (Å): 5.4591 5.4591 4.2364
angles (deg): 90.00 90.00 90.00
Space group P4/mbm (No. 127)
Inequivalent atoms, fractional coordinates:
1 V 0.0000 0.0000 0.0000 [2 per cell]
2 V 0.1915 0.3085 0.5000 [4 per cell]
3 Mo 0.0000 0.5000 0.0000 [2 per cell]
4 C 0.0000 0.0000 0.5000 [2 per cell]

Total moment (μB/f.u.): 0.00
Formation energy (eV/atom): -0.16
Density of states at the Fermi level (states/eV/f.u.): 3.2
ΔE to the lowest computed polymorph (meV/atom): 0

No. 6
Below is a relaxed VMoC3 crystal, with properties calculated at the PBE level.

a b c (Å): 3.8182 3.8182 3.8182
angles (deg): 90.00 90.00 90.00
Space group Pm-3m (No. 221)
Inequivalent atoms, fractional coordinates:
1 V 0.0000 0.0000 0.0000 [1 per cell]
2 Mo 0.5000 0.5000 0.5000 [1 per cell]
3 C 0.0000 0.0000 0.5000 [3 per cell]

Total moment (μB/f.u.): 1.82
Formation energy (eV/atom): 1.85
Density of states at the Fermi level (states/eV/f.u.): 4.8
ΔE to the lowest computed polymorph (meV/atom): 0

No. 7
Below is a relaxed V2MoC crystal, with properties calculated at the PBE level.

a b c (Å): 2.8519 2.8519 20.9464
angles (deg): 90.00 90.00 120.00
Space group R3m (No. 160, hexagonal axes)
Inequivalent atoms, fractional coordinates:
1 V 0.0000 0.0000 0.0000 [3 per cell]
2 V 0.0000 0.0000 0.2233 [3 per cell]
3 Mo 0.0000 0.0000 0.4443 [3 per cell]
4 C 0.0000 0.0000 0.6123 [3 per cell]

Total moment (μB/f.u.): 0.00
Formation energy (eV/atom): -0.19
Density of states at the Fermi level (states/eV/f.u.): 4.3
ΔE to the lowest computed polymorph (meV/atom): 58

No. 8
Below is a relaxed V2MoC crystal, with properties calculated at the PBE level.

a b c (Å): 5.7508 5.7508 5.7508
angles (deg): 90.00 90.00 90.00
Space group Fm-3m (No. 225)
Inequivalent atoms, fractional coordinates:
1 V 0.2500 0.2500 0.2500 [8 per cell]
2 Mo 0.0000 0.0000 0.0000 [4 per cell]
3 C 0.0000 0.0000 0.5000 [4 per cell]

Total moment (μB/f.u.): 0.00
Formation energy (eV/atom): 0.82
Density of states at the Fermi level (states/eV/f.u.): 4.2
ΔE to the lowest computed polymorph (meV/atom): 1066

No. 9
Below is a relaxed VMo2C crystal, with properties calculated at the PBE level.

a b c (Å): 5.8554 5.8554 5.8554
angles (deg): 90.00 90.00 90.00
Space group Fm-3m (No. 225)
Inequivalent atoms, fractional coordinates:
1 V 0.0000 0.0000 0.0000 [4 per cell]
2 Mo 0.2500 0.2500 0.2500 [8 per cell]
3 C 0.0000 0.0000 0.5000 [4 per cell]

Total moment (μB/f.u.): 0.00
Formation energy (eV/atom): 0.90
Density of states at the Fermi level (states/eV/f.u.): 3.8
ΔE to the lowest computed polymorph (meV/atom): 758

No. 10
Below is a relaxed VMoC3 crystal, with properties calculated at the PBE level.

a b c (Å): 4.0234 4.0234 4.0234
angles (deg): 90.00 90.00 90.00
Space group Pm-3m (No. 221)
Inequivalent atoms, fractional coordinates:
1 V 0.0000 0.0000 0.0000 [1 per cell]
2 Mo 0.5000 0.5000 0.5000 [1 per cell]
3 C 0.0000 0.5000 0.5000 [3 per cell]

Total moment (μB/f.u.): 2.63
Formation energy (eV/atom): 1.88
Density of states at the Fermi level (states/eV/f.u.): 6.4
ΔE to the lowest computed polymorph (meV/atom): 36

No. 11
Below is a relaxed VMoC2 crystal, with properties calculated at the PBE level.

a b c (Å): 5.3187 5.3187 5.3187
angles (deg): 90.00 90.00 90.00
Space group Fm-3m (No. 225)
Inequivalent atoms, fractional coordinates:
1 V 0.0000 0.0000 0.0000 [4 per cell]
2 Mo 0.0000 0.0000 0.5000 [4 per cell]
3 C 0.2500 0.2500 0.2500 [8 per cell]

Total moment (μB/f.u.): 0.00
Formation energy (eV/atom): 0.51
Density of states at the Fermi level (states/eV/f.u.): 2.4
ΔE to the lowest computed polymorph (meV/atom): 615

No. 12
Below is a relaxed VMo2C crystal, with properties calculated at the PBE level.

a b c (Å): 2.9554 2.9554 22.0761
angles (deg): 90.00 90.00 120.00
Space group R-3m (No. 166, hexagonal axes)
Inequivalent atoms, fractional coordinates:
1 V 0.0000 0.0000 0.0000 [3 per cell]
2 Mo 0.0000 0.0000 0.1101 [6 per cell]
3 C 0.0000 0.0000 0.5000 [3 per cell]

Total moment (μB/f.u.): 0.00
Formation energy (eV/atom): 0.45
Density of states at the Fermi level (states/eV/f.u.): 4.2
ΔE to the lowest computed polymorph (meV/atom): 300

No. 13
Below is a relaxed V3Mo3C crystal, with properties calculated at the PBE level.

a b c (Å): 11.4420 11.4420 11.4420
angles (deg): 90.00 90.00 90.00
Space group Fd-3m (No. 227, origin choice 2)
Inequivalent atoms, fractional coordinates:
1 V 0.0000 0.0000 0.0000 [16 per cell]
2 V 0.0408 0.0408 0.2092 [32 per cell]
3 Mo 0.0668 0.3750 0.8750 [48 per cell]
4 C 0.0000 0.0000 0.5000 [16 per cell]

Total moment (μB/f.u.): 0.00
Formation energy (eV/atom): -0.09
Density of states at the Fermi level (states/eV/f.u.): 6.3

No. 14
Below is a relaxed VMoC2 crystal, with properties calculated at the PBE level.

a b c (Å): 2.9836 2.9836 15.4411
angles (deg): 90.00 90.00 120.00
Space group R3m (No. 160, hexagonal axes)
Inequivalent atoms, fractional coordinates:
1 V 0.0000 0.0000 0.0000 [3 per cell]
2 Mo 0.0000 0.0000 0.8215 [3 per cell]
3 C 0.0000 0.0000 0.2428 [3 per cell]
4 C 0.0000 0.0000 0.4037 [3 per cell]

Total moment (μB/f.u.): 0.00
Formation energy (eV/atom): -0.11
Density of states at the Fermi level (states/eV/f.u.): 1.8
ΔE to the lowest computed polymorph (meV/atom): 0

No. 15
Below is a relaxed Mo2WC crystal, with properties calculated at the PBE level.

a b c (Å): 3.1186 3.0379 6.1076
angles (deg): 90.00 104.79 90.00
Space group P2/m (No. 10)
Inequivalent atoms, fractional coordinates:
1 Mo 0.1236 0.0000 0.2870 [2 per cell]
2 W 0.5000 0.5000 0.0000 [1 per cell]
3 C 0.0000 0.5000 0.5000 [1 per cell]

Total moment (μB/f.u.): 0.00
Formation energy (eV/atom): 0.34
Density of states at the Fermi level (states/eV/f.u.): 2.2

No. 16
Below is a relaxed MoWC2 crystal, with properties calculated at the PBE level.

a b c (Å): 6.3548 2.8935 5.0053
angles (deg): 90.00 90.27 90.00
Space group Cm (No. 8)
Inequivalent atoms, fractional coordinates:
1 Mo 0.0000 0.0000 0.0000 [2 per cell]
2 W 0.2309 0.0000 0.5041 [2 per cell]
3 C 0.0232 0.5000 0.3257 [2 per cell]
4 C 0.2060 0.5000 0.8229 [2 per cell]

Total moment (μB/f.u.): 0.00
Formation energy (eV/atom): 0.34
Density of states at the Fermi level (states/eV/f.u.): 1.5
ΔE to the lowest computed polymorph (meV/atom): 447

No. 17
Below is a relaxed MoWC2 crystal, with properties calculated at the PBE level.

a b c (Å): 3.0724 3.0724 4.4726
angles (deg): 90.00 90.00 90.00
Space group P4mm (No. 99)
Inequivalent atoms, fractional coordinates:
1 Mo 0.0000 0.0000 0.0000 [1 per cell]
2 W 0.5000 0.5000 0.4506 [1 per cell]
3 C 0.0000 0.0000 0.4925 [1 per cell]
4 C 0.5000 0.5000 0.9506 [1 per cell]

Total moment (μB/f.u.): 0.00
Formation energy (eV/atom): 0.24
Density of states at the Fermi level (states/eV/f.u.): 2.4
ΔE to the lowest computed polymorph (meV/atom): 354

No. 18
Below is a relaxed MoW2C crystal, with properties calculated at the PBE level.

a b c (Å): 3.0120 3.0120 20.8755
angles (deg): 90.00 90.00 120.00
Space group R3m (No. 160, hexagonal axes)
Inequivalent atoms, fractional coordinates:
1 Mo 0.0000 0.0000 0.0000 [3 per cell]
2 W 0.0000 0.0000 0.2250 [3 per cell]
3 W 0.0000 0.0000 0.4504 [3 per cell]
4 C 0.0000 0.0000 0.7252 [3 per cell]

Total moment (μB/f.u.): 0.00
Formation energy (eV/atom): 0.11
Density of states at the Fermi level (states/eV/f.u.): 2.7

No. 19
Below is a relaxed MoW2C crystal, with properties calculated at the PBE level.

a b c (Å): 4.2129 4.2129 3.1291
angles (deg): 90.00 90.00 90.00
Space group P4/mmm (No. 123)
Inequivalent atoms, fractional coordinates:
1 Mo 0.0000 0.0000 0.0000 [1 per cell]
2 W 0.0000 0.5000 0.5000 [2 per cell]
3 C 0.5000 0.5000 0.0000 [1 per cell]

Total moment (μB/f.u.): 0.00
Formation energy (eV/atom): 1.23
Density of states at the Fermi level (states/eV/f.u.): 3.1

No. 20
Below is a relaxed MoW2C crystal, with properties calculated at the PBE level.

a b c (Å): 2.7223 2.7223 7.2542
angles (deg): 90.00 90.00 90.00
Space group P4mm (No. 99)
Inequivalent atoms, fractional coordinates:
1 Mo 0.0000 0.0000 0.0000 [1 per cell]
2 W 0.0000 0.0000 0.6399 [1 per cell]
3 W 0.5000 0.5000 0.3203 [1 per cell]
4 C 0.5000 0.5000 0.8129 [1 per cell]

Total moment (μB/f.u.): 0.00
Formation energy (eV/atom): 0.48
Density of states at the Fermi level (states/eV/f.u.): 1.8

No. 21
Below is a relaxed MoWC2 crystal, with properties calculated at the PBE level.

a b c (Å): 2.8405 2.9302 5.0684
angles (deg): 90.00 90.00 90.00
Space group Pmm2 (No. 25)
Inequivalent atoms, fractional coordinates:
1 Mo 0.0000 0.0000 0.0000 [1 per cell]
2 W 0.0000 0.5000 0.5013 [1 per cell]
3 C 0.5000 0.0000 0.3360 [1 per cell]
4 C 0.5000 0.5000 0.8326 [1 per cell]

Total moment (μB/f.u.): 0.00
Formation energy (eV/atom): -0.11
Density of states at the Fermi level (states/eV/f.u.): 0.4
ΔE to the lowest computed polymorph (meV/atom): 0

No. 22
Below is a relaxed Mo2WC crystal, with properties calculated at the PBE level.

a b c (Å): 9.0717 2.9707 4.7195
angles (deg): 90.00 120.24 90.00
Space group C2/m (No. 12)
Inequivalent atoms, fractional coordinates:
1 Mo 0.1897 0.0000 0.1897 [4 per cell]
2 W 0.0000 0.0000 0.5000 [2 per cell]
3 C 0.0000 0.5000 0.0000 [2 per cell]

Total moment (μB/f.u.): 0.00
Formation energy (eV/atom): 0.47
Density of states at the Fermi level (states/eV/f.u.): 2.8

No. 23
Below is a relaxed Mo2WC crystal, with properties calculated at the PBE level.

a b c (Å): 3.0936 4.6649 7.5276
angles (deg): 90.00 90.00 90.00
Space group Cmmm (No. 65)
Inequivalent atoms, fractional coordinates:
1 Mo 0.0000 0.0000 0.1931 [4 per cell]
2 W 0.0000 0.5000 0.5000 [2 per cell]
3 C 0.0000 0.5000 0.0000 [2 per cell]

Total moment (μB/f.u.): 0.00
Formation energy (eV/atom): 0.37
Density of states at the Fermi level (states/eV/f.u.): 3.9

No. 24
Below is a relaxed Mo2WC crystal, with properties calculated at the PBE level.

a b c (Å): 3.5064 3.5064 8.9728
angles (deg): 90.00 90.00 90.00
Space group I-4m2 (No. 119)
Inequivalent atoms, fractional coordinates:
1 Mo 0.0000 0.0000 0.0000 [2 per cell]
2 Mo 0.0000 0.5000 0.2500 [2 per cell]
3 W 0.0000 0.5000 0.7500 [2 per cell]
4 C 0.0000 0.0000 0.5000 [2 per cell]

Total moment (μB/f.u.): 0.00
Formation energy (eV/atom): 1.07
Density of states at the Fermi level (states/eV/f.u.): 1.9

No. 25
Below is a relaxed MoW2C crystal, with properties calculated at the PBE level.

a b c (Å): 2.9718 3.0624 11.8282
angles (deg): 90.00 90.00 90.00
Space group Amm2 (No. 38)
Inequivalent atoms, fractional coordinates:
1 Mo 0.0000 0.0000 0.0000 [2 per cell]
2 W 0.0000 0.0000 0.7001 [2 per cell]
3 W 0.5000 0.0000 0.3505 [2 per cell]
4 C 0.5000 0.0000 0.5580 [2 per cell]

Total moment (μB/f.u.): 0.00
Formation energy (eV/atom): 0.15
Density of states at the Fermi level (states/eV/f.u.): 1.3

No. 26
Below is a relaxed MoWC2 crystal, with properties calculated at the PBE level.

a b c (Å): 5.7494 5.7494 5.7494
angles (deg): 90.00 90.00 90.00
Space group F-43m (No. 216)
Inequivalent atoms, fractional coordinates:
1 Mo 0.0000 0.0000 0.0000 [4 per cell]
2 W 0.2500 0.2500 0.7500 [4 per cell]
3 C 0.0000 0.0000 0.5000 [4 per cell]
4 C 0.2500 0.2500 0.2500 [4 per cell]

Total moment (μB/f.u.): 0.00
Formation energy (eV/atom): 2.17
Density of states at the Fermi level (states/eV/f.u.): 1.3
ΔE to the lowest computed polymorph (meV/atom): 2278

No. 27
Below is a relaxed MoW2C crystal, with properties calculated at the PBE level.

a b c (Å): 4.2778 3.0991 4.3314
angles (deg): 90.00 103.71 90.00
Space group P2/m (No. 10)
Inequivalent atoms, fractional coordinates:
1 Mo 0.0000 0.0000 0.0000 [1 per cell]
2 W 0.5000 0.0000 0.5000 [1 per cell]
3 W 0.5000 0.5000 0.0000 [1 per cell]
4 C 0.0000 0.5000 0.5000 [1 per cell]

Total moment (μB/f.u.): 0.00
Formation energy (eV/atom): 1.16
Density of states at the Fermi level (states/eV/f.u.): 2.4

| no. | total DFT energy (no corrections) (eV per atom) |
| --- | --- |
| 1 | -9.856 |
| 2 | -6.990 |
| 3 | -9.281 |
| 4 | -9.860 |
| 5 | -9.644 |
| 6 | -7.678 |
| 7 | -9.763 |
| 8 | -8.755 |
| 9 | -9.099 |
| 10 | -7.642 |
| 11 | -9.091 |
| 12 | -9.556 |
| 13 | -9.962 |
| 14 | -9.705 |
| 15 | -10.618 |
| 16 | -10.222 |
| 17 | -10.315 |
| 18 | -11.377 |
| 19 | -10.259 |
| 20 | -11.007 |
| 21 | -10.669 |
| 22 | -10.488 |
| 23 | -10.585 |
| 24 | -9.888 |
| 25 | -11.340 |
| 26 | -8.391 |
| 27 | -10.332 |